This record from Alexandria describes crystalline SrV2Hg2O7 at its relaxed geometry. The functional is PBE+U.

Unit cell a=5.5741 b=5.5741 c=8.5542 alpha=70.99 beta=70.99 gamma=60.00
Element x y z (fractional)
V1 0.9235 0.9235 0.2294
V2 0.0765 0.0765 0.7706
O1 0.9021 0.6069 0.2989
O2 0.8079 0.3931 0.7011
O3 0.6069 0.1921 0.2989
O4 0.0979 0.8079 0.7011
O5 0.0000 0.0000 0.0000
O6 0.3931 0.0979 0.7011
O7 0.1921 0.9021 0.2989
Sr1 0.5000 0.5000 0.5000
Hg1 0.7018 0.7018 0.8945
Hg2 0.2982 0.2982 0.1055

Values from the calculation:
E	-5.94	eV/atom
symmetry	No. 155
total magnetic moment	0.000	μB per atom
crystal system	trigonal